Here is Li2ScInS after structural relaxation from Alexandria. Energies are from PBE-GGA.

Geometry as extended XYZ:
```
5
Lattice="4.566 0.000 0.000 0.000 4.566 0.000 0.000 0.000 4.962" Properties=species:S:1:pos:R:3 pbc="T T T"
Li 0.000 2.283 0.000
Li 2.283 0.000 0.000
Sc 0.000 0.000 2.481
In 2.283 2.283 2.481
S 0.000 0.000 0.000
```

Computed properties:
Formation energy from raw total energies = -69 kJ/mol of atoms
Size of the total moment = 0.00 μB per cell